# InNiP2O, relaxed, DFT PBE with a Hubbard U
data_InNiP2O
_chemical_formula_sum 'In1 Ni1 P2 O1'
_space_group_name_H-M_alt 'P 4/m m m'
_space_group_IT_number 123
_space_group_name_Hall '-P 4 2'
_cell_length_a 4.722
_cell_length_b 4.722
_cell_length_c 3.527
_cell_angle_alpha 90.00
_cell_angle_beta 90.00
_cell_angle_gamma 90.00
loop_
_atom_site_label
_atom_site_type_symbol
_atom_site_fract_x
_atom_site_fract_y
_atom_site_fract_z
In1 In 0.000 0.000 0.000
Ni1 Ni 0.500 0.500 0.500
P1 P 0.000 0.500 0.500
O1 O 0.500 0.500 0.000
# Calculated density = 5.3 Mg/m³
# E above lowest polymorph = 0.00 kJ/mol of atoms
# DOS(E_F) = 0.746 states/eV/atom